VASP calculation (GGA-PBE) on a geometry-optimized HfMn3Br structure.

Output
symmetry: Pm-3m, No. 221
volume: 24.43 Å³ per atom
ΔE_f (raw): 132.0 kJ per mole of atoms
spin magnetization: 9.69 Bohr magnetons per cell

Cell lengths 4.9620, 4.9620, 4.9620 Å; angles 90.00, 90.00, 90.00 degrees
With the nearest neighbours (Å) after each atom.
Atoms (fractional coordinates):
1 Hf 0.0000 0.0000 0.0000  6 Mn 2.48
2 Mn 0.0000 0.0000 0.5000  2 Hf 2.48
3 Mn 0.0000 0.5000 0.0000  2 Hf 2.48
4 Mn 0.5000 0.0000 0.0000  2 Hf 2.48
5 Br 0.5000 0.5000 0.5000  12 Mn 3.51

VASP calculation (GGA-PBE) on a geometry-optimized TbTmAl structure.

Output
symmetry: P4/nmm, No. 129
volume: 27.21 Å³ per atom
formation energy from the elements: -0.137 eV/atom
spin magnetization: 0.00 Bohr magnetons per cell

Cell lengths 4.5034, 4.5034, 8.0502 Å; angles 90.00, 90.00, 90.00 degrees
With the nearest neighbours (Å) after each atom.
Atoms (fractional coordinates):
1 Tb 0.2500 0.7500 0.0000  4 Al 3.13, 4 Tb 3.18
2 Tb 0.7500 0.2500 0.0000  4 Al 3.13, 4 Tb 3.18
3 Tm 0.2500 0.2500 0.3579  5 Al 3.00-3.26
4 Tm 0.7500 0.7500 0.6421  5 Al 3.00-3.26
5 Al 0.2500 0.2500 0.7308  5 Tm 3.00-3.26, 4 Tb 3.13
6 Al 0.7500 0.7500 0.2692  5 Tm 3.00-3.26, 4 Tb 3.13

VASP calculation (GGA-PBE) on a geometry-optimized Li3RhI structure.

Output
symmetry: Pm-3m, No. 221
volume: 22.80 Å³ per atom
ΔE_f (raw): 3.1 kJ per mole of atoms
spin magnetization: 0.96 Bohr magnetons per cell

Cell lengths 4.8486, 4.8486, 4.8486 Å; angles 90.00, 90.00, 90.00 degrees
With the nearest neighbours (Å) after each atom.
Atoms (fractional coordinates):
1 Li 0.0000 0.0000 0.5000  2 Rh 2.42
2 Li 0.0000 0.5000 0.0000  2 Rh 2.42
3 Li 0.5000 0.0000 0.0000  2 Rh 2.42
4 Rh 0.0000 0.0000 0.0000  6 Li 2.42
5 I 0.5000 0.5000 0.5000  12 Li 3.43

Number 1: offset from the most stable computed form 1.41 eV/f.u.. Number 2: offset from the most stable computed form 0.35 eV/f.u.. Number 3: offset from the most stable computed form 0.00 eV/f.u..